A geometry-optimized CdP2PdO6 structure. Source: Alexandria, functional PBE-GGA.

Values from the calculation:
**Space group**: C2/c, No. 15
**Energy**: -6.2745 eV per atom

abc: 8.6647 8.6647 4.5401
angles: 91.92 91.92 90.87
Positions (direct):
Cd (0.2209, 0.7791, 0.7500)
Cd (0.7791, 0.2209, 0.2500)
P (0.1776, 0.3285, 0.3109)
P (0.3285, 0.1776, 0.8109)
P (0.6715, 0.8224, 0.1891)
P (0.8224, 0.6715, 0.6891)
Pd (0.3433, 0.6567, 0.2500)
Pd (0.6567, 0.3433, 0.7500)
O (0.0343, 0.2327, 0.2613)
O (0.1672, 0.4981, 0.2450)
O (0.2327, 0.0343, 0.7613)
O (0.2484, 0.3195, 0.6420)
O (0.3195, 0.2484, 0.1420)
O (0.4981, 0.1672, 0.7450)
O (0.5019, 0.8328, 0.2550)
O (0.6805, 0.7516, 0.8580)
O (0.7516, 0.6805, 0.3580)
O (0.7673, 0.9657, 0.2387)
O (0.8328, 0.5019, 0.7550)
O (0.9657, 0.7673, 0.7387)



A geometry-optimized La5Ag3 structure. Source: Alexandria, functional PBE-GGA.

Values from the calculation:
**Space group**: Cmmm, No. 65
**E above lowest polymorph**: 68.6 meV per atom
**ΔE_f**: -112 meV/atom

abc: 6.7426 6.7426 5.4276
angles: 90.00 90.00 106.42
Positions (direct):
La (0.0000, 0.0000, 0.0000)
La (0.0000, 0.5000, 0.0000)
La (0.2835, 0.2835, 0.5000)
La (0.5000, 0.0000, 0.0000)
La (0.7165, 0.7165, 0.5000)
Ag (0.2217, 0.7783, 0.5000)
Ag (0.5000, 0.5000, 0.0000)
Ag (0.7783, 0.2217, 0.5000)



A geometry-optimized Ca2La3Pm2 structure. Source: Alexandria, functional PBE-GGA.

Values from the calculation:
**Space group**: C2/m, No. 12
**ΔE_f**: 54 meV/atom

abc: 6.4529 6.4529 8.5413
angles: 97.82 97.82 48.46
Positions (direct):
Ca (0.1431, 0.1431, 0.4291)
Ca (0.8569, 0.8569, 0.5709)
La (0.0000, 0.0000, 0.0000)
La (0.4279, 0.4279, 0.2637)
La (0.5721, 0.5721, 0.7363)
Pm (0.2836, 0.2836, 0.8690)
Pm (0.7164, 0.7164, 0.1310)



A geometry-optimized HfThMg structure. Source: Alexandria, functional PBE-GGA.

Values from the calculation:
**Space group**: P3m1, No. 156
**E above lowest polymorph**: 100.7 meV per atom
**ΔE_f**: 217 meV/atom

abc: 5.2236 5.2236 3.2903
angles: 90.00 90.00 120.00
Positions (direct):
Hf (0.0000, 0.0000, 0.0000)
Th (0.3333, 0.6667, 0.5006)
Mg (0.6667, 0.3333, 0.0016)



A geometry-optimized Zn7AgAu2 structure. Source: Alexandria, functional PBE-GGA.

Values from the calculation:
**Space group**: P3m1, No. 156
**E above lowest polymorph**: 0.0 meV per atom
**ΔE_f**: -69 meV/atom

abc: 4.3865 4.3865 10.5812
angles: 90.00 90.00 120.00
Positions (direct):
Zn (0.0000, 0.0000, 0.0000)
Zn (0.0000, 0.0000, 0.2542)
Zn (0.0000, 0.0000, 0.5128)
Zn (0.3333, 0.6667, 0.1571)
Zn (0.3333, 0.6667, 0.6716)
Zn (0.6667, 0.3333, 0.3597)
Zn (0.6667, 0.3333, 0.8400)
Ag (0.6667, 0.3333, 0.0945)
Au (0.0000, 0.0000, 0.7565)
Au (0.3333, 0.6667, 0.4185)



A geometry-optimized Rb2TlBi2 structure. Source: Alexandria, functional PBE-GGA.

Values from the calculation:
**Space group**: C2/m, No. 12
**E above lowest polymorph**: 3.5 meV per atom
**ΔE_f**: -270 meV/atom

abc: 7.2206 7.2206 12.8594
angles: 117.17 117.17 48.28
Positions (direct):
Rb (0.0027, 0.0027, 0.1816)
Rb (0.1835, 0.1835, 0.6013)
Rb (0.8165, 0.8165, 0.3987)
Rb (0.9973, 0.9973, 0.8184)
Tl (0.2743, 0.2743, 0.1391)
Tl (0.7257, 0.7257, 0.8609)
Bi (0.3669, 0.3669, 0.9454)
Bi (0.4857, 0.4857, 0.6106)
Bi (0.5143, 0.5143, 0.3894)
Bi (0.6331, 0.6331, 0.0546)



A geometry-optimized SmDy12Tm6 structure. Source: Alexandria, functional PBE-GGA.

Values from the calculation:
**Space group**: R-3, No. 148
**E above lowest polymorph**: 0.0 meV per atom
**ΔE_f**: 156 meV/atom

abc: 8.4715 8.4715 8.4715
angles: 88.34 88.34 88.34
Positions (direct):
Sm (0.0000, 0.0000, 0.0000)
Dy (0.0106, 0.2055, 0.3582)
Dy (0.2055, 0.3582, 0.0106)
Dy (0.2244, 0.4578, 0.5654)
Dy (0.3582, 0.0106, 0.2055)
Dy (0.4346, 0.7756, 0.5422)
Dy (0.4578, 0.5654, 0.2244)
Dy (0.5422, 0.4346, 0.7756)
Dy (0.5654, 0.2244, 0.4578)
Dy (0.6418, 0.9894, 0.7945)
Dy (0.7756, 0.5422, 0.4346)
Dy (0.7945, 0.6418, 0.9894)
Dy (0.9894, 0.7945, 0.6418)
Tm (0.0946, 0.6911, 0.2570)
Tm (0.2570, 0.0946, 0.6911)
Tm (0.3089, 0.7430, 0.9054)
Tm (0.6911, 0.2570, 0.0946)
Tm (0.7430, 0.9054, 0.3089)
Tm (0.9054, 0.3089, 0.7430)



A geometry-optimized CdGaTc2 structure. Source: Alexandria, functional PBE-GGA.

Values from the calculation:
**Space group**: Fm-3m, No. 225
**E above lowest polymorph**: 0.0 meV per atom
**ΔE_f**: 424 meV/atom

abc: 4.4651 4.4651 4.4651
angles: 60.00 60.00 60.00
Positions (direct):
Cd (0.0000, 0.0000, 0.0000)
Ga (0.5000, 0.5000, 0.5000)
Tc (0.2500, 0.2500, 0.2500)
Tc (0.7500, 0.7500, 0.7500)



no.,magnetization (μB/atom)
1,0.0067
2,0.0000
3,0.0000
4,0.0001
5,0.0000
6,0.0000
7,0.0000
8,0.2798